! SbTe2IBr (PBE, relaxed); values from VASP
&SYSTEM
  ibrav = 0, nat = 5, ntyp = 4
/
ATOMIC_SPECIES
I 126.90 I.upf
Sb 121.76 Sb.upf
Te 127.60 Te.upf
Br 79.90 Br.upf
CELL_PARAMETERS angstrom
-2.7600 -4.9894 1.0614
1.3753 0.4343 5.6177
-4.9793 2.9650 0.9898
ATOMIC_POSITIONS crystal
I 0.0000 0.0000 0.5000
Sb 0.0000 0.0000 0.0000
Te 0.0000 0.5000 0.0000
Te 0.5000 0.0000 0.0000
Br 0.5000 0.5000 0.5000
! Calculated density (g/cm³): 4.9
! ΔE to the lowest computed polymorph (meV per atom): 0
! Space group: P4/mmm
! Spin magnetization (μB per atom): 0.0008